The following is a DFT calculation (PBE with a Hubbard U) of SrCoO2 after structural relaxation.

Lattice parameters (Å, degrees): 6.3731 6.3731 6.3731 33.97 33.97 33.97
Positions (direct):
Sr: 0.5000 0.5000 0.5000
Co: 0.0000 0.0000 0.0000
O: 0.9032 0.9032 0.9032
O: 0.0968 0.0968 0.0968

Raw total energy = -23.48 eV per cell